DFT (GGA-PBE) results for crystalline LaSc2Hg at its relaxed geometry.

```
LaSc2Hg
1.0
1.665 0.961 11.104
-1.665 0.961 11.104
0.000 -1.923 11.104
La Sc Hg
1 2 1
Direct
0.000 0.000 0.000 La
0.097 0.097 0.097 Sc
0.903 0.903 0.903 Sc
0.500 0.500 0.500 Hg
```

Values from the calculation:
* formation energy from the elements: 0.0444 eV/atom

---

DFT (GGA-PBE) results for crystalline Zn2GaSn2 at its relaxed geometry.

```
Zn2GaSn2
1.0
-2.207 2.207 6.103
2.207 -2.207 6.103
2.207 2.207 -6.103
Zn Ga Sn
2 1 2
Direct
0.098 0.098 0.000 Zn
0.902 0.902 0.000 Zn
0.500 0.500 0.000 Ga
0.250 0.750 0.500 Sn
0.750 0.250 0.500 Sn
```

Values from the calculation:
* formation energy from the elements: 0.1620 eV/atom

---

DFT (GGA-PBE) results for crystalline LaY2Co at its relaxed geometry.

```
LaY2Co
1.0
-2.270 2.270 5.038
2.270 -2.270 5.038
2.270 2.270 -5.038
La Y Co
1 2 1
Direct
0.000 0.000 0.000 La
0.250 0.750 0.500 Y
0.500 0.500 0.000 Y
0.750 0.250 0.500 Co
```

Values from the calculation:
* formation energy from the elements: 0.3371 eV/atom

---

DFT (GGA-PBE) results for crystalline CdSn5Pb4 at its relaxed geometry.

```
CdSn5Pb4
1.0
-2.852 4.978 5.376
2.852 -4.978 5.376
2.852 4.978 -5.376
Cd Sn Pb
1 5 4
Direct
0.000 0.000 0.000 Cd
0.084 0.257 0.827 Sn
0.430 0.257 0.173 Sn
0.500 0.500 0.000 Sn
0.570 0.743 0.827 Sn
0.916 0.743 0.173 Sn
0.159 0.659 0.500 Pb
0.333 0.000 0.333 Pb
0.667 0.000 0.667 Pb
0.841 0.341 0.500 Pb
```

Values from the calculation:
* formation energy from the elements: 0.0877 eV/atom

---

DFT (GGA-PBE) results for crystalline Na8SnO6 at its relaxed geometry.

```
Na8SnO6
1.0
3.175 1.833 5.706
-3.175 1.833 5.706
0.000 -3.666 5.706
Na Sn O
8 1 6
Direct
0.001 0.746 0.407 Na
0.159 0.159 0.159 Na
0.254 0.593 0.999 Na
0.407 0.001 0.746 Na
0.593 0.999 0.254 Na
0.746 0.407 0.001 Na
0.841 0.841 0.841 Na
0.999 0.254 0.593 Na
0.500 0.500 0.500 Sn
0.149 0.413 0.720 O
0.280 0.851 0.587 O
0.413 0.720 0.149 O
0.587 0.280 0.851 O
0.720 0.149 0.413 O
0.851 0.587 0.280 O
```

Values from the calculation:
* raw formation energy: -1.36 eV/atom

---

> Number 3 is which compound?

LaY2Co